Material: YCdPdRu
Method: DFT, GGA-PBE
State: relaxed

Results
D(E_F) in states/eV/cell: 2.938
Magnetization in μB per atom: 0.000
SG: F-43m
DFT formation energy in eV per atom: -0.30
Density in g/cm3: 9.03

Unit cell a=4.737 b=4.737 c=4.737 alpha=60.00 beta=60.00 gamma=60.00
Positions (direct):
Y1 0.000 0.000 0.000
Ru1 0.750 0.750 0.750
Pd1 0.250 0.250 0.250
Cd1 0.500 0.500 0.500